{"formula": "Be2CdGa2", "functional": "PBE", "state": "optimized geometry", "cell": [[7.020, 0.000, 0.000], [0.000, 7.020, 0.000], [0.000, 0.000, 3.098]], "species": ["Be", "Be", "Be", "Be", "Cd", "Cd", "Ga", "Ga", "Ga", "Ga"], "frac_coords": [[0.111, 0.389, 0.000], [0.389, 0.889, 0.000], [0.611, 0.111, 0.000], [0.889, 0.611, 0.000], [0.000, 0.000, 0.000], [0.500, 0.500, 0.000], [0.180, 0.680, 0.500], [0.320, 0.180, 0.500], [0.680, 0.820, 0.500], [0.820, 0.320, 0.500]], "de_polymorph_mev_per_atom": 33, "formation_enthalpy_0k_ev_per_atom": 0.333, "m_tot_mub_per_cell": 0.0}

=====

{"formula": "CdTc2Cl", "functional": "PBE", "state": "optimized geometry", "cell": [[4.563, 0.000, 0.000], [0.000, 4.563, 0.000], [0.000, 0.000, 6.528]], "species": ["Cd", "Cd", "Tc", "Tc", "Tc", "Tc", "Cl", "Cl"], "frac_coords": [[0.000, 0.000, 0.000], [0.500, 0.500, 0.500], [0.000, 0.000, 0.500], [0.000, 0.500, 0.250], [0.500, 0.000, 0.750], [0.500, 0.500, 0.000], [0.000, 0.500, 0.750], [0.500, 0.000, 0.250]], "de_polymorph_mev_per_atom": 916, "raw_formation_energy_ev_per_atom": 0.90, "m_tot_mub_per_cell": 1.7}

=====

{"formula": "PuGeRu", "functional": "PBE", "state": "optimized geometry", "cell": [[3.662, 0.000, 0.000], [0.000, 3.662, 0.000], [0.000, 0.000, 8.900]], "species": ["Pu", "Pu", "Ge", "Ge", "Ru", "Ru"], "frac_coords": [[0.000, 0.000, 0.000], [0.500, 0.500, 0.500], [0.000, 0.000, 0.682], [0.500, 0.500, 0.182], [0.000, 0.000, 0.392], [0.500, 0.500, 0.892]], "formation_enthalpy_0k_ev_per_atom": -0.016, "m_tot_mub_per_cell": 8.7}

=====

{"formula": "KMnAuN2", "functional": "PBE", "state": "optimized geometry", "cell": [[4.267, 0.000, 0.000], [0.000, 4.267, 0.000], [0.000, 0.000, 5.435]], "species": ["K", "Mn", "Au", "N", "N"], "frac_coords": [[0.000, 0.000, 0.000], [0.500, 0.500, 0.000], [0.000, 0.000, 0.500], [0.000, 0.500, 0.500], [0.500, 0.000, 0.500]], "raw_formation_energy_ev_per_atom": 2.08, "m_tot_mub_per_cell": 5.1}

=====

{"formula": "RbSrPdF6", "functional": "PBE", "state": "optimized geometry", "cell": [[-3.969, 4.075, 5.124], [3.969, -4.075, 5.124], [3.969, 4.075, -5.124]], "species": ["Rb", "Rb", "Sr", "Sr", "Pd", "Pd", "F", "F", "F", "F", "F", "F", "F", "F", "F", "F", "F", "F"], "frac_coords": [[0.405, 0.155, 0.250], [0.595, 0.845, 0.750], [0.000, 0.000, 0.500], [0.000, 0.500, 0.000], [0.000, 0.500, 0.500], [0.500, 0.500, 0.000], [0.128, 0.878, 0.250], [0.165, 0.459, 0.352], [0.165, 0.812, 0.706], [0.179, 0.429, 0.750], [0.394, 0.188, 0.852], [0.394, 0.541, 0.206], [0.606, 0.459, 0.794], [0.606, 0.812, 0.148], [0.821, 0.571, 0.250], [0.835, 0.188, 0.294], [0.835, 0.541, 0.648], [0.872, 0.122, 0.750]], "raw_formation_energy_ev_per_atom": -2.54, "m_tot_mub_per_cell": 0.2}

=====

{"formula": "AcScCdAu", "functional": "PBE", "state": "optimized geometry", "cell": [[7.536, 0.000, 0.000], [0.000, 7.536, 0.000], [0.000, 0.000, 7.536]], "species": ["Ac", "Ac", "Ac", "Ac", "Sc", "Sc", "Sc", "Sc", "Cd", "Cd", "Cd", "Cd", "Au", "Au", "Au", "Au"], "frac_coords": [[0.000, 0.000, 0.000], [0.000, 0.500, 0.500], [0.500, 0.000, 0.500], [0.500, 0.500, 0.000], [0.000, 0.000, 0.500], [0.000, 0.500, 0.000], [0.500, 0.000, 0.000], [0.500, 0.500, 0.500], [0.250, 0.250, 0.750], [0.250, 0.750, 0.250], [0.750, 0.250, 0.250], [0.750, 0.750, 0.750], [0.250, 0.250, 0.250], [0.250, 0.750, 0.750], [0.750, 0.250, 0.750], [0.750, 0.750, 0.250]], "formation_enthalpy_0k_ev_per_atom": -0.390, "m_tot_mub_per_cell": 0.0}

=====

{"formula": "NdBiTe2S", "functional": "PBE", "state": "optimized geometry", "cell": [[4.531, 0.000, 0.000], [0.000, 4.531, 0.000], [0.000, 0.000, 16.019]], "species": ["Nd", "Nd", "Bi", "Bi", "Te", "Te", "Te", "Te", "S", "S"], "frac_coords": [[0.250, 0.250, 0.100], [0.750, 0.750, 0.900], [0.250, 0.250, 0.627], [0.750, 0.750, 0.373], [0.250, 0.250, 0.404], [0.250, 0.250, 0.809], [0.750, 0.750, 0.191], [0.750, 0.750, 0.596], [0.250, 0.750, 0.000], [0.750, 0.250, 0.000]], "raw_formation_energy_ev_per_atom": -0.93, "m_tot_mub_per_cell": 0.0}

=====

{"formula": "Pm3P2H", "functional": "PBE", "state": "optimized geometry", "cell": [[6.328, -2.851, 0.000], [6.328, 2.851, 0.000], [-2.612, 0.000, 7.708]], "species": ["Pm", "Pm", "Pm", "Pm", "Pm", "Pm", "P", "P", "P", "P", "H", "H"], "frac_coords": [[0.013, 0.987, 0.750], [0.328, 0.329, 0.414], [0.329, 0.328, 0.914], [0.671, 0.672, 0.086], [0.672, 0.671, 0.586], [0.987, 0.013, 0.250], [0.167, 0.168, 0.084], [0.168, 0.167, 0.584], [0.832, 0.833, 0.416], [0.833, 0.832, 0.916], [0.475, 0.525, 0.750], [0.525, 0.475, 0.250]], "de_polymorph_mev_per_atom": 52, "m_tot_mub_per_cell": 0.0}

=====

{"formula": "TcBPd3", "functional": "PBE", "state": "optimized geometry", "cell": [[4.207, 0.000, 0.000], [0.000, 4.207, 0.000], [0.000, 0.000, 4.207]], "species": ["Tc", "B", "Pd", "Pd", "Pd"], "frac_coords": [[0.000, 0.000, 0.000], [0.500, 0.500, 0.500], [0.000, 0.500, 0.500], [0.500, 0.000, 0.500], [0.500, 0.500, 0.000]], "de_polymorph_mev_per_atom": 0, "formation_enthalpy_0k_ev_per_atom": 0.340, "m_tot_mub_per_cell": 4.2}

=====

{"formula": "PrHo3Cu2", "functional": "PBE", "state": "optimized geometry", "cell": [[3.489, 0.000, 0.000], [0.000, 3.489, 0.000], [0.000, 0.000, 12.244]], "species": ["Pr", "Ho", "Ho", "Ho", "Cu", "Cu"], "frac_coords": [[0.000, 0.000, 0.000], [0.500, 0.500, 0.224], [0.500, 0.500, 0.500], [0.500, 0.500, 0.776], [0.000, 0.000, 0.359], [0.000, 0.000, 0.641]], "de_polymorph_mev_per_atom": 0, "formation_enthalpy_0k_ev_per_atom": -0.162, "m_tot_mub_per_cell": 0.0}

=====

{"formula": "Rb2YRuI6", "functional": "PBE", "state": "optimized geometry", "cell": [[-4.127, 4.127, 5.824], [4.127, -4.127, 5.824], [4.127, 4.127, -5.824]], "species": ["Rb", "Rb", "Y", "Ru", "I", "I", "I", "I", "I", "I"], "frac_coords": [[0.250, 0.750, 0.500], [0.750, 0.250, 0.500], [0.000, 0.000, 0.000], [0.500, 0.500, 0.000], [0.260, 0.260, 0.000], [0.260, 0.260, 0.520], [0.260, 0.740, 0.000], [0.740, 0.260, 0.000], [0.740, 0.740, 0.000], [0.740, 0.740, 0.480]], "raw_formation_energy_ev_per_atom": -0.87, "m_tot_mub_per_cell": 1.0}

=====

{"formula": "Nd2BiH2", "functional": "PBE", "state": "optimized geometry", "cell": [[4.088, 0.000, 0.000], [0.000, 4.088, 0.000], [0.000, 0.000, 12.128]], "species": ["Nd", "Nd", "Nd", "Nd", "Bi", "Bi", "H", "H", "H", "H"], "frac_coords": [[0.000, 0.000, 0.148], [0.000, 0.000, 0.852], [0.500, 0.500, 0.352], [0.500, 0.500, 0.648], [0.000, 0.000, 0.500], [0.500, 0.500, 0.000], [0.000, 0.500, 0.250], [0.000, 0.500, 0.750], [0.500, 0.000, 0.250], [0.500, 0.000, 0.750]], "energy_ev_per_atom": -4.7445, "m_tot_mub_per_cell": 0.0}

=====

{"formula": "BaP2AuO", "functional": "PBE", "state": "optimized geometry", "cell": [[4.840, 0.000, 0.000], [0.000, 4.840, 0.000], [0.000, 0.000, 4.686]], "species": ["Ba", "P", "P", "Au", "O"], "frac_coords": [[0.000, 0.000, 0.000], [0.000, 0.500, 0.500], [0.500, 0.000, 0.500], [0.500, 0.500, 0.500], [0.500, 0.500, 0.000]], "de_polymorph_mev_per_atom": 0, "raw_formation_energy_ev_per_atom": -0.03, "m_tot_mub_per_cell": 1.0}

=====

{"formula": "Rb5Ag3Sb3", "functional": "PBE", "state": "optimized geometry", "cell": [[5.007, 0.000, 0.000], [-0.002, 10.676, 0.000], [-0.031, -5.264, 9.290]], "species": ["Rb", "Rb", "Rb", "Rb", "Rb", "Ag", "Ag", "Ag", "Sb", "Sb", "Sb"], "frac_coords": [[0.000, 0.000, 0.000], [0.000, 0.238, 0.509], [0.498, 0.591, 0.906], [0.498, 0.906, 0.591], [0.998, 0.509, 0.239], [0.000, 0.853, 0.248], [0.496, 0.550, 0.550], [0.996, 0.248, 0.853], [0.497, 0.257, 0.939], [0.500, 0.939, 0.257], [0.997, 0.638, 0.638]], "raw_formation_energy_ev_per_atom": -0.25, "m_tot_mub_per_cell": 0.6}